--- a ---
## MgAgHPt2 (PBE-GGA)

Data for a relaxed structure of MgAgHPt2.

Calculated values
The total magnetization is 0.0 μB/cell.

a = 4.0107 Å, b = 4.0107 Å, c = 4.1876 Å
α = 90.00°, β = 90.00°, γ = 90.00°
Space group P4/mmm (No. 123)
Inequivalent atoms, fractional coordinates:
Mg  0.0000  0.0000  0.0000 [1 per cell]
Ag  0.5000  0.5000  0.0000 [1 per cell]
H  0.0000  0.0000  0.5000 [1 per cell]
Pt  0.0000  0.5000  0.5000 [2 per cell]


--- b ---
## MgAgHPt2 (PBE-GGA)

Data for a relaxed structure of MgAgHPt2.

Calculated values
The total magnetization is 0.0 μB/cell.

a = 4.0391 Å, b = 4.0391 Å, c = 4.1566 Å
α = 90.00°, β = 90.00°, γ = 90.00°
Space group P4/mmm (No. 123)
Inequivalent atoms, fractional coordinates:
Mg  0.0000  0.0000  0.0000 [1 per cell]
Ag  0.5000  0.5000  0.0000 [1 per cell]
H  0.5000  0.5000  0.5000 [1 per cell]
Pt  0.0000  0.5000  0.5000 [2 per cell]


Energies, relative to the best one, in meV/atom: a 0; b 7.


--- a ---
## MgAg2HPt (PBE-GGA)

Data for a relaxed structure of MgAg2HPt.

Calculated values
The total magnetization is 0.0 μB/cell.

a = 4.0200 Å, b = 4.0200 Å, c = 4.3925 Å
α = 90.00°, β = 90.00°, γ = 90.00°
Space group P4/mmm (No. 123)
Inequivalent atoms, fractional coordinates:
Mg  0.0000  0.0000  0.0000 [1 per cell]
Ag  0.0000  0.5000  0.5000 [2 per cell]
H  0.0000  0.0000  0.5000 [1 per cell]
Pt  0.5000  0.5000  0.0000 [1 per cell]


--- b ---
## MgAg2HPt (PBE-GGA)

Data for a relaxed structure of MgAg2HPt.

Calculated values
The total magnetization is 0.0 μB/cell.

a = 4.2568 Å, b = 4.2568 Å, c = 3.9440 Å
α = 90.00°, β = 90.00°, γ = 90.00°
Space group P4/mmm (No. 123)
Inequivalent atoms, fractional coordinates:
Mg  0.0000  0.0000  0.0000 [1 per cell]
Ag  0.0000  0.5000  0.5000 [2 per cell]
H  0.5000  0.5000  0.5000 [1 per cell]
Pt  0.5000  0.5000  0.0000 [1 per cell]


Energies, relative to the best one, in meV/atom: a 45; b 0.


--- a ---
## Mg2AgHRh (PBE-GGA)

Data for a relaxed structure of Mg2AgHRh.

Calculated values
The total magnetization is 0.0 μB/cell.

a = 4.5068 Å, b = 4.5068 Å, c = 3.4537 Å
α = 90.00°, β = 90.00°, γ = 90.00°
Space group P4/mmm (No. 123)
Inequivalent atoms, fractional coordinates:
Mg  0.0000  0.5000  0.0000 [2 per cell]
Ag  0.0000  0.0000  0.5000 [1 per cell]
H  0.5000  0.5000  0.0000 [1 per cell]
Rh  0.5000  0.5000  0.5000 [1 per cell]


--- b ---
## Mg2AgHRh (PBE-GGA)

Data for a relaxed structure of Mg2AgHRh.

Calculated values
The total magnetization is 0.0 μB/cell.

a = 4.3220 Å, b = 4.3220 Å, c = 3.7216 Å
α = 90.00°, β = 90.00°, γ = 90.00°
Space group P4/mmm (No. 123)
Inequivalent atoms, fractional coordinates:
Mg  0.0000  0.5000  0.0000 [2 per cell]
Ag  0.0000  0.0000  0.5000 [1 per cell]
H  0.0000  0.0000  0.0000 [1 per cell]
Rh  0.5000  0.5000  0.5000 [1 per cell]


Energies, relative to the best one, in meV/atom: a 0; b 196.


--- a ---
## MgSc2AgH (PBE-GGA)

Data for a relaxed structure of MgSc2AgH.

Calculated values
The total magnetization is 1.0 μB/cell.

a = 4.4052 Å, b = 4.4052 Å, c = 4.3843 Å
α = 90.00°, β = 90.00°, γ = 90.00°
Space group P4/mmm (No. 123)
Inequivalent atoms, fractional coordinates:
Mg  0.0000  0.0000  0.0000 [1 per cell]
Sc  0.0000  0.5000  0.5000 [2 per cell]
Ag  0.5000  0.5000  0.0000 [1 per cell]
H  0.0000  0.0000  0.5000 [1 per cell]


--- b ---
## MgSc2AgH (PBE-GGA)

Data for a relaxed structure of MgSc2AgH.

Calculated values
The total magnetization is 0.5 μB/cell.

a = 4.4695 Å, b = 4.4695 Å, c = 4.3124 Å
α = 90.00°, β = 90.00°, γ = 90.00°
Space group P4/mmm (No. 123)
Inequivalent atoms, fractional coordinates:
Mg  0.0000  0.0000  0.0000 [1 per cell]
Sc  0.0000  0.5000  0.5000 [2 per cell]
Ag  0.5000  0.5000  0.0000 [1 per cell]
H  0.5000  0.5000  0.5000 [1 per cell]


Energies, relative to the best one, in meV/atom: a 0; b 36.


--- a ---
## Sr2MgAgH (PBE-GGA)

Data for a relaxed structure of Sr2MgAgH.

Calculated values
The total magnetization is 0.0 μB/cell.

a = 5.3852 Å, b = 5.3852 Å, c = 4.3587 Å
α = 90.00°, β = 90.00°, γ = 90.00°
Space group P4/mmm (No. 123)
Inequivalent atoms, fractional coordinates:
Sr  0.0000  0.5000  0.0000 [2 per cell]
Mg  0.0000  0.0000  0.5000 [1 per cell]
Ag  0.5000  0.5000  0.5000 [1 per cell]
H  0.0000  0.0000  0.0000 [1 per cell]


--- b ---
## Sr2MgAgH (PBE-GGA)

Data for a relaxed structure of Sr2MgAgH.

Calculated values
The total magnetization is 0.0 μB/cell.

a = 5.6278 Å, b = 5.6278 Å, c = 4.1124 Å
α = 90.00°, β = 90.00°, γ = 90.00°
Space group P4/mmm (No. 123)
Inequivalent atoms, fractional coordinates:
Sr  0.0000  0.5000  0.0000 [2 per cell]
Mg  0.0000  0.0000  0.5000 [1 per cell]
Ag  0.5000  0.5000  0.5000 [1 per cell]
H  0.5000  0.5000  0.0000 [1 per cell]


Energies, relative to the best one, in meV/atom: a 0; b 49.


--- a ---
## Y2MgAgH (PBE-GGA)

Data for a relaxed structure of Y2MgAgH.

Calculated values
The total magnetization is 0.4 μB/cell.

a = 4.9678 Å, b = 4.9678 Å, c = 4.1579 Å
α = 90.00°, β = 90.00°, γ = 90.00°
Space group P4/mmm (No. 123)
Inequivalent atoms, fractional coordinates:
Y  0.0000  0.5000  0.0000 [2 per cell]
Mg  0.0000  0.0000  0.5000 [1 per cell]
Ag  0.5000  0.5000  0.5000 [1 per cell]
H  0.5000  0.5000  0.0000 [1 per cell]


--- b ---
## Y2MgAgH (PBE-GGA)

Data for a relaxed structure of Y2MgAgH.

Calculated values
The total magnetization is 0.5 μB/cell.

a = 4.9136 Å, b = 4.9136 Å, c = 4.2058 Å
α = 90.00°, β = 90.00°, γ = 90.00°
Space group P4/mmm (No. 123)
Inequivalent atoms, fractional coordinates:
Y  0.0000  0.5000  0.0000 [2 per cell]
Mg  0.0000  0.0000  0.5000 [1 per cell]
Ag  0.5000  0.5000  0.5000 [1 per cell]
H  0.0000  0.0000  0.0000 [1 per cell]


Energies, relative to the best one, in meV/atom: a 20; b 0.